Record 1
AcAlSi after structural relaxation. Source: the Alexandria database, functional PBE.

Energy relative to the lowest polymorph listed for this composition = 405 meV/atom
Theoretical density = 6.2 Mg/m³
Fermi-level density of states = 8.43 states/eV/cell
Energy relative to the elements, uncorrected = -0.17 eV per atom
SG = Fddd (70)
Spin magnetization = 0.0 μB/cell

Geometry as extended XYZ:
```
12
Lattice="0.0000 5.9705 6.3573 4.0083 0.0000 6.3573 4.0083 5.9705 0.0000" Properties=species:S:1:pos:R:3 pbc="T T T"
Ac 0.0000 0.0000 0.0000
Ac 2.0042 2.9853 0.0000
Ac 2.0042 0.0000 3.1787
Ac 0.0000 2.9853 3.1787
Al 3.0063 2.9504 4.7680
Al 5.0104 5.9357 7.9467
Al 3.0063 6.0054 4.7680
Al 5.0104 8.9907 7.9467
Si 3.0063 4.4779 2.6906
Si 5.0104 7.4632 5.8693
Si 3.0063 4.4779 6.8454
Si 5.0104 7.4632 10.0241
```

---

Record 2
CdPSe2 after structural relaxation. Source: the Alexandria database, functional PBE.

Energy relative to the lowest polymorph listed for this composition = 112 meV/atom
Theoretical density = 5.2 Mg/m³
Fermi-level density of states = 5.76 states/eV/cell
Energy relative to the elements, uncorrected = 0.08 eV per atom
SG = R-3m (166)
Spin magnetization = 0.0 μB/cell

Geometry as extended XYZ:
```
12
Lattice="3.4681 0.0000 0.0000 -1.7340 3.0034 0.0000 0.0000 0.0000 27.5927" Properties=species:S:1:pos:R:3 pbc="T T T"
Cd 0.0000 0.0000 0.0000
Cd 0.0000 2.0023 18.3952
Cd 1.7340 1.0011 9.1976
P 0.0000 0.0000 13.7964
P 0.0000 2.0023 4.5988
P 1.7340 1.0011 22.9939
Se 0.0000 0.0000 6.1152
Se 0.0000 0.0000 21.4776
Se 0.0000 2.0023 12.2800
Se 0.0000 2.0023 24.5103
Se 1.7340 1.0011 3.0824
Se 1.7340 1.0011 15.3127
```

---

Record 3
PrPuRu after structural relaxation. Source: the Alexandria database, functional PBE.

Energy relative to the lowest polymorph listed for this composition = 54 meV/atom
Theoretical density = 11.1 Mg/m³
Fermi-level density of states = 11.82 states/eV/cell
SG = I4mm (107)
Spin magnetization = 9.7 μB/cell
Formation energy from the elements = -0.15 eV per formula unit

Geometry as extended XYZ:
```
6
Lattice="3.5922 0.0000 0.0000 0.0000 3.5922 0.0000 0.0000 0.0000 11.2959" Properties=species:S:1:pos:R:3 pbc="T T T"
Pr 0.0000 0.0000 0.0000
Pr 1.7961 1.7961 5.6480
Pu 0.0000 0.0000 3.2226
Pu 1.7961 1.7961 8.8705
Ru 0.0000 0.0000 7.8425
Ru 1.7961 1.7961 2.1946
```

---

Record 4
CdGaCu3 after structural relaxation. Source: the Alexandria database, functional PBE.

Energy relative to the lowest polymorph listed for this composition = 851 meV/atom
Theoretical density = 5.4 Mg/m³
Fermi-level density of states = 1.87 states/eV/cell
SG = Pm-3m (221)
Spin magnetization = 0.0 μB/cell
Formation energy from the elements = 4.36 eV per formula unit

Geometry as extended XYZ:
```
5
Lattice="4.8475 0.0000 0.0000 0.0000 4.8475 0.0000 0.0000 0.0000 4.8475" Properties=species:S:1:pos:R:3 pbc="T T T"
Cd 0.0000 0.0000 0.0000
Ga 2.4238 2.4238 2.4238
Cu 0.0000 0.0000 2.4238
Cu 0.0000 2.4238 0.0000
Cu 2.4238 0.0000 0.0000
```

---

Record 5
NdErGe after structural relaxation. Source: the Alexandria database, functional PBE.

Energy relative to the lowest polymorph listed for this composition = 137 meV/atom
Theoretical density = 7.0 Mg/m³
Fermi-level density of states = 4.08 states/eV/cell
SG = P-6m2 (187)
Spin magnetization = 1.5 μB/cell
Formation energy from the elements = -1.14 eV per formula unit

Geometry as extended XYZ:
```
6
Lattice="4.2999 0.0000 0.0000 -2.1500 3.7239 0.0000 0.0000 0.0000 11.4243" Properties=species:S:1:pos:R:3 pbc="T T T"
Nd 0.0000 0.0000 2.6170
Nd 0.0000 0.0000 8.8073
Er 0.0000 2.4826 0.0000
Er 2.1500 1.2413 5.7121
Ge 0.0000 2.4826 4.1361
Ge 0.0000 2.4826 7.2882
```

---

Record 6
Sn3GeAu after structural relaxation. Source: the Alexandria database, functional PBE.

Energy relative to the lowest polymorph listed for this composition = 0 meV/atom
Theoretical density = 6.7 Mg/m³
Fermi-level density of states = 2.72 states/eV/cell
SG = Pm-3m (221)
Spin magnetization = 0.0 μB/cell
Formation energy from the elements = 2.47 eV per formula unit

Geometry as extended XYZ:
```
5
Lattice="5.3638 0.0000 0.0000 0.0000 5.3638 0.0000 0.0000 0.0000 5.3638" Properties=species:S:1:pos:R:3 pbc="T T T"
Sn 0.0000 0.0000 2.6819
Sn 0.0000 2.6819 0.0000
Sn 2.6819 0.0000 0.0000
Ge 2.6819 2.6819 2.6819
Au 0.0000 0.0000 0.0000
```

---

Record 7
AcNpScO6 after structural relaxation. Source: the Alexandria database, functional PBE.

Theoretical density = 7.0 Mg/m³
Energy relative to the elements, uncorrected = -3.25 eV per atom
SG = P-31c (163)
Spin magnetization = 2.0 μB/cell

Geometry as extended XYZ:
```
18
Lattice="5.6018 0.0000 0.0000 -2.8009 4.8513 0.0000 0.0000 0.0000 10.5636" Properties=species:S:1:pos:R:3 pbc="T T T"
Ac 0.0000 0.0000 0.0000
Ac 0.0000 0.0000 5.2818
Np 0.0000 3.2342 2.6409
Np 2.8009 1.6171 7.9227
Sc 0.0000 3.2342 7.9227
Sc 2.8009 1.6171 2.6409
O -0.9940 1.7927 1.5241
O -1.7454 3.0942 3.7576
O 0.9940 1.7927 3.7576
O -0.7514 4.8158 1.5241
O 2.0495 0.0355 6.8059
O 1.0555 1.7571 9.0394
O 1.7454 3.0942 1.5241
O 0.7514 4.8158 3.7576
O 3.5523 0.0355 9.0394
O 1.8069 3.0586 6.8059
O 4.5463 1.7571 6.8059
O 3.7949 3.0586 9.0394
```

---

Record 8
YTe2Mo after structural relaxation. Source: the Alexandria database, functional PBE.

Energy relative to the lowest polymorph listed for this composition = 382 meV/atom
Theoretical density = 5.7 Mg/m³
Fermi-level density of states = 11.85 states/eV/cell
Energy relative to the elements, uncorrected = 0.00 eV per atom
SG = I-42d (122)
Spin magnetization = 0.0 μB/cell

Geometry as extended XYZ:
```
16
Lattice="5.7975 0.0000 0.0000 0.0000 5.7975 0.0000 0.0000 0.0000 15.3094" Properties=species:S:1:pos:R:3 pbc="T T T"
Y 0.0000 0.0000 0.0000
Y 0.0000 2.8987 3.8274
Y 2.8987 0.0000 11.4821
Y 2.8987 2.8987 7.6547
Te 1.1162 1.4494 9.5684
Te 1.4494 4.0149 13.3957
Te 1.4494 4.6813 5.7410
Te 1.7825 1.4494 1.9137
Te 4.0149 4.3481 1.9137
Te 4.3481 1.1162 5.7410
Te 4.3481 1.7825 13.3957
Te 4.6813 4.3481 9.5684
Mo 0.0000 0.0000 7.6547
Mo 0.0000 2.8987 11.4821
Mo 2.8987 0.0000 3.8274
Mo 2.8987 2.8987 0.0000
```